Density functional theory data (GGA-PBE) for an optimized crystal structure of TlI.

Its uncorrected energy is -20.3 eV for the cell shown. The density comes out at 4.4 Mg/m³. The calculation puts the energy relative to the lowest polymorph listed for this composition at 16 kJ/mol of formula units.

The structure belongs to space group F-43m (No. 216); the cell edges are 7.914, 7.914 and 7.914 Å and the angles 90.00°, 90.00° and 90.00°. The asymmetric unit holds Tl at (0.000, 0.000, 0.000) and I at (0.250, 0.250, 0.250).

Density functional theory data (GGA-PBE) for an optimized crystal structure of LiHg2Au2.

Its uncorrected energy is -18.7 eV for the cell shown. The density comes out at 11.4 Mg/m³. The calculation puts the energy relative to the lowest polymorph listed for this composition at 38 kJ/mol of formula units.

The structure belongs to space group I4/mmm (No. 139); the cell edges are 4.143, 4.143 and 13.620 Å and the angles 90.00°, 90.00° and 90.00°. The asymmetric unit holds Li at (0.000, 0.000, 0.000), Hg at (0.000, 0.500, 0.250) and Au at (0.000, 0.000, 0.403).

Density functional theory data (GGA-PBE) for an optimized crystal structure of RbHfCr2.

Its uncorrected energy is -93.6 eV for the cell shown. The density comes out at 4.5 Mg/m³. The calculation puts the energy relative to the lowest polymorph listed for this composition at 73 kJ/mol of formula units.

The structure belongs to space group I4_1/amd (No. 141, origin choice 2); the cell edges are 5.489, 5.489 and 18.182 Å and the angles 90.00°, 90.00° and 90.00°. The asymmetric unit holds Rb at (0.000, 0.250, 0.375), Hf at (0.000, 0.250, 0.875) and Cr at (0.000, 0.000, 0.000).

Density functional theory data (GGA-PBE) for an optimized crystal structure of RbWC3.

Its uncorrected energy is -33.9 eV for the cell shown. The density comes out at 6.7 Mg/m³. The calculation puts the energy relative to the lowest polymorph listed for this composition at 0 kJ/mol of formula units.

The structure belongs to space group Pm-3m (No. 221); the cell edges are 4.235, 4.235 and 4.235 Å and the angles 90.00°, 90.00° and 90.00°. The asymmetric unit holds Rb at (0.000, 0.000, 0.000), W at (0.500, 0.500, 0.500) and C at (0.000, 0.500, 0.500).

Density functional theory data (GGA-PBE) for an optimized crystal structure of MnAuSe2.

Its uncorrected energy is -59.2 eV for the cell shown. The density comes out at 7.8 Mg/m³.

The structure belongs to space group R-3m (No. 166, hexagonal axes); the cell edges are 3.1674, 3.1674 and 30.1522 Å and the angles 90.00°, 90.00° and 120.00°. The asymmetric unit holds Mn at (0.0000, 0.0000, 0.0000), Au at (0.0000, 0.0000, 0.5000) and Se at (0.0000, 0.0000, 0.2806).

Density functional theory data (GGA-PBE) for an optimized crystal structure of KSb3Pt3.

Its uncorrected energy is -205.8 eV for the cell shown. The density comes out at 8.0 Mg/m³. The calculation puts the energy relative to the lowest polymorph listed for this composition at 0 kJ/mol of formula units.

The structure belongs to space group R-3 (No. 148, hexagonal axes); the cell edges are 7.5750, 7.5750 and 24.8773 Å and the angles 90.00°, 90.00° and 120.00°. The asymmetric unit holds K at (0.0000, 0.0000, 0.1642), Sb at (0.0090, 0.3241, 0.4010) and Pt at (0.0064, 0.3244, 0.9619).